Entry 1:
MgTaH3 | PBE | optimized geometry

The structure in extended XYZ format:
```
5
Lattice="3.5353 0.0000 0.0000 0.0000 3.5353 0.0000 0.0000 0.0000 3.5353" Properties=species:S:1:pos:R:3 pbc="T T T"
Mg 0.0000 0.0000 0.0000
Ta 1.7676 1.7676 1.7676
H 0.0000 0.0000 1.7676
H 0.0000 1.7676 0.0000
H 1.7676 0.0000 0.0000
```

Results
Energy above the most stable polymorph in this dataset ... 558 meV/atom
Spin magnetization ... 1.22 μB/cell


Entry 2:
Mg5Ta3H12 | PBE | optimized geometry

The structure in extended XYZ format:
```
80
Lattice="-5.6829 5.6829 5.6829 5.6829 -5.6829 5.6829 5.6829 5.6829 -5.6829" Properties=species:S:1:pos:R:3 pbc="T T T"
Mg 0.0000 0.0000 0.0000
Mg 2.8414 2.8414 -2.8414
Mg 2.8414 -2.8414 2.8414
Mg 5.6829 0.0000 0.0000
Mg 8.5243 1.4207 0.0000
Mg 5.6829 -2.8414 4.2621
Mg 4.2621 5.6829 -2.8414
Mg 4.2621 0.0000 2.8414
Mg 2.8414 4.2621 0.0000
Mg 5.6829 2.8414 1.4207
Mg -2.8414 2.8414 2.8414
Mg 0.0000 5.6829 0.0000
Mg 0.0000 0.0000 5.6829
Mg 2.8414 2.8414 2.8414
Mg 0.0000 2.8414 4.2621
Mg 2.8414 1.4207 5.6829
Mg 1.4207 5.6829 2.8414
Mg 1.4207 0.0000 8.5243
Mg 0.0000 8.5243 1.4207
Mg -2.8414 4.2621 5.6829
Ta 2.8414 1.4207 0.0000
Ta 5.6829 2.8414 -1.4207
Ta 1.4207 0.0000 2.8414
Ta 7.1036 0.0000 2.8414
Ta 0.0000 2.8414 1.4207
Ta 2.8414 -1.4207 5.6829
Ta 2.8414 7.1036 0.0000
Ta 5.6829 2.8414 4.2621
Ta -1.4207 5.6829 2.8414
Ta 4.2621 5.6829 2.8414
Ta 0.0000 2.8414 7.1036
Ta 2.8414 4.2621 5.6829
H 1.7826 -0.0645 0.8708
H 6.7416 3.7123 -2.9059
H 5.6184 -0.8708 1.7826
H 8.5887 -1.0588 1.9706
H 7.4655 0.0645 0.8708
H 6.7416 -1.9706 2.9059
H 0.8708 1.7826 -0.0645
H 7.6535 2.7770 -1.0588
H 3.7123 2.9059 -1.0588
H 4.8120 1.7826 0.0645
H -0.0645 0.8708 1.7826
H 2.9059 -1.0588 3.7123
H 5.6184 4.8120 -1.7826
H 2.9059 1.0588 1.9706
H 4.8120 -1.7826 5.6184
H 3.7123 -2.9059 6.7416
H 1.9706 2.9059 1.0588
H 6.5537 3.9002 0.0645
H 1.7826 5.6184 -0.8708
H 6.7416 1.9706 2.7770
H 2.9059 6.7416 -1.9706
H 5.6184 0.8708 3.9002
H 1.0588 1.9706 2.9059
H 1.7826 0.0645 4.8120
H 3.9002 5.6184 0.8708
H 4.6241 3.7123 2.7770
H 0.0645 4.8120 1.7826
H 2.7770 -1.0588 7.6535
H -1.0588 3.7123 2.9059
H 3.9002 0.0645 6.5537
H -0.8708 1.7826 5.6184
H 3.7123 2.7770 4.6241
H 1.9706 8.5887 -1.0588
H 0.8708 7.4655 0.0645
H 2.7770 4.6241 3.7123
H 0.0645 0.8708 7.4655
H 2.7770 6.7416 1.9706
H 5.7473 4.8120 3.9002
H 0.8708 3.9002 5.6184
H 1.9706 2.7770 6.7416
H -1.9706 2.9059 6.7416
H 4.8120 3.9002 5.7473
H -1.0588 7.6535 2.7770
H -1.7826 5.6184 4.8120
H -2.9059 6.7416 3.7123
H 0.0645 6.5537 3.9002
H -1.0588 1.9706 8.5887
H 3.9002 5.7473 4.8120
```

Results
Uncorrected energy ... -4.1292 eV per atom
Spin magnetization ... 0.00 μB/cell


Entry 3:
Mg3TaH | PBE | optimized geometry

The structure in extended XYZ format:
```
5
Lattice="5.6212 0.0000 0.0000 0.0000 5.6212 0.0000 0.0000 0.0000 5.6212" Properties=species:S:1:pos:R:3 pbc="T T T"
Mg 0.0000 0.0000 2.8106
Mg 0.0000 2.8106 0.0000
Mg 2.8106 0.0000 0.0000
Ta 0.0000 0.0000 0.0000
H 2.8106 2.8106 2.8106
```

Results
Energy above the most stable polymorph in this dataset ... 1295 meV/atom
Spin magnetization ... 4.79 μB/cell


Entry 4:
MgTa2H2 | PBE | optimized geometry

The structure in extended XYZ format:
```
10
Lattice="3.6609 0.0000 0.0000 0.0000 3.6609 0.0000 0.0000 0.0000 9.1306" Properties=species:S:1:pos:R:3 pbc="T T T"
Mg 0.0000 0.0000 0.0000
Mg 1.8304 1.8304 4.5653
Ta 0.0000 0.0000 3.0159
Ta 0.0000 0.0000 6.1147
Ta 1.8304 1.8304 1.5494
Ta 1.8304 1.8304 7.5812
H 0.0000 1.8304 2.2827
H 0.0000 1.8304 6.8480
H 1.8304 0.0000 2.2827
H 1.8304 0.0000 6.8480
```

Results
Uncorrected energy ... -6.3525 eV per atom
Spin magnetization ... 0.00 μB/cell


D(E_F) values (in states/eV/atom) by entry order: 0.566; 0.313; 0.775; 0.345.